A plane-wave DFT calculation with PBE-GGA was carried out for crystalline BeReTe2 at its relaxed geometry.

```
BeReTe2
1.0
2.3468 0.0000 7.4194
-1.1734 2.0324 7.4194
-1.1734 -2.0324 7.4194
Re Te Be
1 2 1
Direct
0.5000 0.5000 0.5000 Re
0.1044 0.1044 0.1044 Te
0.8956 0.8956 0.8956 Te
0.0000 0.0000 0.0000 Be
```

Output
formation energy from raw total energies	0.7075	eV per atom
total DFT energy (no corrections)	-0.3606	Ry/atom
calculated density	7.05	g/cm³
DOS(E_F)	2.98	states/eV per cell
space-group type	R-3m, No. 166

A plane-wave DFT calculation with PBE-GGA was carried out for crystalline BeRe2Te at its relaxed geometry.

```
BeRe2Te
1.0
-2.4306 4.1945 -1.5547
-2.9941 2.2468 3.4505
4.7902 -1.4990 -0.8517
Re Te Be
2 1 1
Direct
0.0242 0.0242 0.0000 Re
0.7515 0.2515 0.5000 Re
0.4931 0.4931 0.0000 Te
0.2312 0.7312 0.5000 Be
```

Output
formation energy from raw total energies	0.7041	eV per atom
total DFT energy (no corrections)	-0.5319	Ry/atom
calculated density	13.98	g/cm³
distance to the lowest polymorph of the same formula	1.48	eV per formula unit
DOS(E_F)	2.74	states/eV per cell
space-group type	Imm2, No. 44

A plane-wave DFT calculation with PBE-GGA was carried out for crystalline BeRe2Te at its relaxed geometry.

```
BeRe2Te
1.0
-4.0474 2.5197 -0.5055
-3.7065 -2.8940 0.9343
3.9916 0.9145 2.4934
Re Te Be
2 1 1
Direct
0.0000 0.0000 0.0000 Re
0.2500 0.7500 0.5000 Re
0.5000 0.5000 0.0000 Te
0.7500 0.2500 0.5000 Be
```

Output
formation energy from raw total energies	0.7434	eV per atom
total DFT energy (no corrections)	-0.5290	Ry/atom
calculated density	13.81	g/cm³
distance to the lowest polymorph of the same formula	1.64	eV per formula unit
DOS(E_F)	2.61	states/eV per cell
space-group type	I-4m2, No. 119